# 1
# LiZr2Te (PBE, relaxed)
# E	-0.2100	hartree per atom
# energy relative to the elements, uncorrected	-0.7	eV per formula unit
# spin magnetization	0.0	μB/cell
# ρ	5.53	g cm⁻³
# crystal system	orthorhombic
data_LiZr2Te
_cell_length_a 3.8266
_cell_length_b 5.3268
_cell_length_c 9.3455
_cell_angle_alpha 90.00
_cell_angle_beta 90.00
_cell_angle_gamma 90.00
_symmetry_space_group_name_H-M 'C m m 2'
_symmetry_Int_Tables_number 35
loop_
_symmetry_equiv_pos_as_xyz
'x,y,z'
'-x,-y,z'
'-x,y,z'
'x,-y,z'
'x+1/2,y+1/2,z'
'-x+1/2,-y+1/2,z'
'-x+1/2,y+1/2,z'
'x+1/2,-y+1/2,z'
loop_
_atom_site_label
_atom_site_type_symbol
_atom_site_fract_x
_atom_site_fract_y
_atom_site_fract_z
_atom_site_occupancy
Li1 Li 0.0000 0.0000 0.0000 1
Zr1 Zr 0.0000 0.0000 0.4674 1
Zr2 Zr 0.0000 0.5000 0.7176 1
Te1 Te 0.0000 0.5000 0.2373 1

=====

# 2
# Nd3Sm4Y2 (PBE, relaxed)
# distance to the lowest polymorph of the same formula	0.0509	eV/atom
# E	-0.1859	hartree per atom
# ΔE_f	0.0642	eV/atom
# spin magnetization	0.0	μB/cell
# ρ	6.49	g cm⁻³
# crystal system	trigonal
data_Nd3Sm4Y2
_cell_length_a 3.6424
_cell_length_b 3.6424
_cell_length_c 26.9730
_cell_angle_alpha 90.00
_cell_angle_beta 90.00
_cell_angle_gamma 120.00
_symmetry_space_group_name_H-M 'P 3 m 1'
_symmetry_Int_Tables_number 156
loop_
_symmetry_equiv_pos_as_xyz
'x,y,z'
'-y,x-y,z'
'-x+y,-x,z'
'-y,-x,z'
'-x+y,y,z'
'x,x-y,z'
loop_
_atom_site_label
_atom_site_type_symbol
_atom_site_fract_x
_atom_site_fract_y
_atom_site_fract_z
_atom_site_occupancy
Nd1 Nd 0.0000 0.0000 0.0000 1
Nd2 Nd 0.0000 0.0000 0.3384 1
Nd3 Nd 0.6667 0.3333 0.6712 1
Sm1 Sm 0.0000 0.0000 0.5596 1
Sm2 Sm 0.0000 0.0000 0.7828 1
Sm3 Sm 0.6667 0.3333 0.2316 1
Sm4 Sm 0.6667 0.3333 0.4519 1
Y1 Y 0.6667 0.3333 0.1061 1
Y2 Y 0.6667 0.3333 0.8890 1

=====

# 3
# K2Cd3Au (PBE, relaxed)
# distance to the lowest polymorph of the same formula	0.1749	eV/atom
# E	-0.0511	hartree per atom
# ΔE_f	-0.0214	eV/atom
# spin magnetization	0.0	μB/cell
# ρ	4.90	g cm⁻³
# crystal system	orthorhombic
data_K2Cd3Au
_cell_length_a 5.0589
_cell_length_b 5.6321
_cell_length_c 14.5568
_cell_angle_alpha 90.00
_cell_angle_beta 90.00
_cell_angle_gamma 90.00
_symmetry_space_group_name_H-M 'I m m m'
_symmetry_Int_Tables_number 71
_symmetry_space_group_name_Hall '-I 2 2'
loop_
_atom_site_label
_atom_site_type_symbol
_atom_site_fract_x
_atom_site_fract_y
_atom_site_fract_z
_atom_site_occupancy
K1 K 0.0000 0.0000 0.2346 1
Cd1 Cd 0.0000 0.5000 0.0983 1
Cd2 Cd 0.0000 0.5000 0.5000 1
Au1 Au 0.0000 0.0000 0.5000 1

=====

# 4
# SiRu2Se (PBE, relaxed)
# distance to the lowest polymorph of the same formula	0.3992	eV/atom
# E	-0.2443	hartree per atom
# energy relative to the elements, uncorrected	0.9	eV per formula unit
# spin magnetization	0.0	μB/cell
# ρ	8.55	g cm⁻³
# crystal system	orthorhombic
data_SiRu2Se
_cell_length_a 2.9703
_cell_length_b 4.8150
_cell_length_c 8.4013
_cell_angle_alpha 90.00
_cell_angle_beta 90.00
_cell_angle_gamma 90.00
_symmetry_space_group_name_H-M 'I m m m'
_symmetry_Int_Tables_number 71
_symmetry_space_group_name_Hall '-I 2 2'
loop_
_atom_site_label
_atom_site_type_symbol
_atom_site_fract_x
_atom_site_fract_y
_atom_site_fract_z
_atom_site_occupancy
Si1 Si 0.0000 0.0000 0.0000 1
Ru1 Ru 0.0000 0.5000 0.2800 1
Se1 Se 0.0000 0.0000 0.5000 1

=====

# 5
# HoMg4Pt2 (PBE, relaxed)
# E	-0.1460	hartree per atom
# ΔE_f	-0.6805	eV/atom
# spin magnetization	0.0	μB/cell
# ρ	7.62	g cm⁻³
# crystal system	tetragonal
data_HoMg4Pt2
_cell_length_a 7.9642
_cell_length_b 7.9642
_cell_length_c 4.4824
_cell_angle_alpha 90.00
_cell_angle_beta 90.00
_cell_angle_gamma 90.00
_symmetry_space_group_name_H-M 'P 42/m n m'
_symmetry_Int_Tables_number 136
_symmetry_space_group_name_Hall '-P 4n 2n'
loop_
_atom_site_label
_atom_site_type_symbol
_atom_site_fract_x
_atom_site_fract_y
_atom_site_fract_z
_atom_site_occupancy
Ho1 Ho 0.0000 0.0000 0.0000 1
Mg1 Mg 0.0863 0.3344 0.5000 1
Pt1 Pt 0.2370 0.7630 0.5000 1

=====

# 6
# SrMg3Pt (PBE, relaxed)
# distance to the lowest polymorph of the same formula	0.0280	eV/atom
# E	-0.1071	hartree per atom
# ΔE_f	-0.4142	eV/atom
# spin magnetization	0.0	μB/cell
# ρ	4.37	g cm⁻³
# crystal system	cubic
data_SrMg3Pt
_cell_length_a 5.1298
_cell_length_b 5.1298
_cell_length_c 5.1298
_cell_angle_alpha 90.00
_cell_angle_beta 90.00
_cell_angle_gamma 90.00
_symmetry_space_group_name_H-M 'P m -3 m'
_symmetry_Int_Tables_number 221
_symmetry_space_group_name_Hall '-P 4 2 3'
loop_
_atom_site_label
_atom_site_type_symbol
_atom_site_fract_x
_atom_site_fract_y
_atom_site_fract_z
_atom_site_occupancy
Sr1 Sr 0.0000 0.0000 0.0000 1
Mg1 Mg 0.0000 0.5000 0.5000 1
Pt1 Pt 0.5000 0.5000 0.5000 1